A plane-wave DFT calculation with GGA-PBE was carried out for a geometry-optimized CaGe2BRu2 structure.

Output
Total magnetic moment: 0.00 μB/f.u.
Uncorrected energy: -6.522 eV per atom

Cell and atoms, written as extended XYZ:
```
6
Lattice="4.178 0.000 0.000 0.000 4.178 0.000 0.000 0.000 5.554" Properties=species:S:1:pos:R:3 pbc="T T T"
Ge 2.089 2.089 4.031
Ge 2.089 2.089 1.523
Ru 0.000 2.089 0.000
Ru 2.089 0.000 0.000
Ca 0.000 0.000 2.777
B 0.000 0.000 0.000
```